The following is a PBE calculation of a relaxed structure of Cs2DyHI6, from Alexandria.

Unit cell a=8.6244 b=8.1396 c=9.6173 alpha=55.50 beta=54.36 gamma=71.31
Positions (direct):
Cs (0.7293, 0.2293, 0.5409)
Cs (0.2707, 0.7707, 0.4591)
Dy (0.0000, 0.0000, 0.0000)
H (0.5000, 0.5000, 0.0000)
I (0.2200, 0.2214, 0.5583)
I (0.8284, 0.7350, 0.9997)
I (0.3643, 0.7406, 0.9994)
I (0.6357, 0.2594, 0.0006)
I (0.1716, 0.2650, 0.0003)
I (0.7800, 0.7786, 0.4417)

Space group: P-1
Calculated total energy in eV/atom: -3.043

***

The following is a PBE calculation of a relaxed structure of CsDyHfS4, from Alexandria.

Unit cell a=6.9061 b=7.0452 c=9.7410 alpha=90.00 beta=110.02 gamma=90.00
Positions (direct):
Cs (0.7233, 0.7500, 0.9468)
Cs (0.2767, 0.2500, 0.0532)
Dy (0.8017, 0.7500, 0.4556)
Dy (0.1983, 0.2500, 0.5444)
Hf (0.2521, 0.7500, 0.3480)
Hf (0.7479, 0.2500, 0.6520)
S (0.9995, 0.4999, 0.6809)
S (0.0005, 0.9999, 0.3191)
S (0.0005, 0.5001, 0.3191)
S (0.9995, 0.0001, 0.6809)
S (0.4568, 0.7500, 0.1955)
S (0.5432, 0.2500, 0.8045)
S (0.4967, 0.7500, 0.5828)
S (0.5033, 0.2500, 0.4172)

Formation energy (no corrections) in meV/atom: -1660.7
Space group: P2_1/m
Calculated total energy in eV/atom: -6.221

***

The following is a PBE calculation of a relaxed structure of Cs3Dy2HfS6, from Alexandria.

Unit cell a=6.9110 b=6.9110 c=8.3907 alpha=97.90 beta=97.90 gamma=120.00
Positions (direct):
Cs (0.1693, 0.8307, 0.5000)
Cs (0.8307, 0.1693, 0.5000)
Cs (0.5000, 0.5000, 0.5000)
Dy (0.3335, 0.6665, 0.0000)
Dy (0.6665, 0.3335, 0.0000)
Hf (0.0000, 0.0000, 0.0000)
S (0.9401, 0.6243, 0.8206)
S (0.7446, 0.7446, 0.1806)
S (0.0599, 0.3757, 0.1794)
S (0.6243, 0.9401, 0.8206)
S (0.2554, 0.2554, 0.8194)
S (0.3757, 0.0599, 0.1794)

Formation energy (no corrections) in meV/atom: -1671.5
Space group: C2/m
Calculated total energy in eV/atom: -5.545

***

The following is a PBE calculation of a relaxed structure of Cs2Dy2HfS6, from Alexandria.

Unit cell a=6.8079 b=6.8079 c=8.5785 alpha=97.92 beta=97.92 gamma=119.70
Positions (direct):
Cs (0.8306, 0.1694, 0.0000)
Cs (0.1694, 0.8306, 0.0000)
Dy (0.3332, 0.6668, 0.5000)
Dy (0.6668, 0.3332, 0.5000)
Hf (0.0000, 0.0000, 0.5000)
S (0.7470, 0.7470, 0.6748)
S (0.0610, 0.3753, 0.6759)
S (0.2530, 0.2530, 0.3252)
S (0.3753, 0.0610, 0.6759)
S (0.9390, 0.6247, 0.3241)
S (0.6247, 0.9390, 0.3241)

Formation energy (no corrections) in meV/atom: -1808.2
Space group: C2/m
Calculated total energy in eV/atom: -5.956

***

The following is a PBE calculation of a relaxed structure of Cs4Dy3HfS8, from Alexandria.

Unit cell a=8.0368 b=9.3055 c=8.0416 alpha=115.64 beta=119.98 gamma=90.00
Positions (direct):
Cs (0.5000, 0.0000, 0.0000)
Cs (0.5000, 0.0000, 0.5000)
Cs (0.0000, 0.0000, 0.0000)
Cs (0.0000, 0.0000, 0.5000)
Dy (0.5000, 0.5000, 0.0000)
Dy (0.5000, 0.5000, 0.5000)
Dy (0.0000, 0.5000, 0.5000)
Hf (0.0000, 0.5000, 0.0000)
S (0.2176, 0.6787, 0.9613)
S (0.2177, 0.6788, 0.4354)
S (0.2720, 0.3162, 0.5440)
S (0.7436, 0.6787, 0.9613)
S (0.2564, 0.3213, 0.0387)
S (0.7280, 0.6838, 0.4560)
S (0.7823, 0.3212, 0.5646)
S (0.7824, 0.3213, 0.0387)

Formation energy (no corrections) in meV/atom: -1708.8
Space group: R-3m
Calculated total energy in eV/atom: -5.471

***

The following is a PBE calculation of a relaxed structure of Cs3Dy2HfSe6, from Alexandria.

Unit cell a=7.1872 b=7.1872 c=8.7186 alpha=97.91 beta=97.91 gamma=120.00
Positions (direct):
Cs (0.1705, 0.8295, 0.5000)
Cs (0.8295, 0.1705, 0.5000)
Cs (0.5000, 0.5000, 0.5000)
Dy (0.3337, 0.6663, 0.0000)
Dy (0.6663, 0.3337, 0.0000)
Hf (0.0000, 0.0000, 0.0000)
Se (0.9388, 0.6216, 0.8164)
Se (0.7449, 0.7449, 0.1853)
Se (0.0612, 0.3784, 0.1836)
Se (0.6216, 0.9388, 0.8164)
Se (0.2551, 0.2551, 0.8147)
Se (0.3784, 0.0612, 0.1836)

Formation energy (no corrections) in meV/atom: -1543.2
Space group: C2/m
Calculated total energy in eV/atom: -5.095